Record 1
Material: HgBi2Te
Method: DFT, PBE-GGA
State: optimized geometry

Geometry as POSCAR:
```
HgBi2Te
1.0
-3.299 3.299 7.771
3.299 -3.299 7.771
3.299 3.299 -7.771
Hg Bi Te
2 4 2
Direct
0.000 0.000 0.000
0.750 0.250 0.500
0.107 0.625 0.982
0.375 0.357 0.482
0.643 0.125 0.018
0.875 0.893 0.518
0.250 0.750 0.500
0.500 0.500 0.000
```

Summary:
Excess energy over the best structure of this formula in the dataset, meV per atom: 183
Total magnetization, μB per cell: 0.0
Formation energy (no corrections), eV/atom: 0.23



Record 2
Material: PuTiAs2
Method: DFT, PBE-GGA
State: optimized geometry

Geometry as POSCAR:
```
PuTiAs2
1.0
1.946 1.124 6.367
-1.946 1.124 6.367
0.000 -2.247 6.367
Pu Ti As
1 1 2
Direct
0.000 0.000 0.000
0.500 0.500 0.500
0.240 0.240 0.240
0.760 0.760 0.760
```

Summary:
Excess energy over the best structure of this formula in the dataset, meV per atom: 0
Total magnetization, μB per cell: 5.4
ΔH_f (0 K), eV per atom: -0.949



Record 3
Material: Rb8As2I
Method: DFT, PBE-GGA
State: optimized geometry

Geometry as POSCAR:
```
Rb8As2I
1.0
-2.891 4.934 9.010
2.891 -4.934 9.010
2.891 4.934 -9.010
Rb As I
8 2 1
Direct
0.127 0.338 0.789
0.168 0.168 0.000
0.320 0.000 0.320
0.451 0.662 0.789
0.549 0.338 0.211
0.680 0.000 0.680
0.832 0.832 0.000
0.873 0.662 0.211
0.307 0.807 0.500
0.693 0.193 0.500
0.000 0.500 0.500
```

Summary:
Total magnetization, μB per cell: 0.2
Formation energy (no corrections), eV/atom: -0.38